Entry 1:
# CrPd2Br

Crystalline CrPd2Br at its relaxed geometry (PBE, Alexandria).

Summary:
**Crystal system**: tetragonal
**Formation energy (no corrections)**: 64 kJ per mole of atoms
**Polymorph energy (0 for the lowest one)**: 27.0 kJ per mole of atoms

abc: 5.765 5.765 5.765
angles: 102.20 102.20 125.25
Fractional positions:
Cr 0.000 0.000 0.000
Cr 0.750 0.250 0.500
Pd 0.099 0.125 0.474
Pd 0.375 0.901 0.026
Pd 0.651 0.625 0.526
Pd 0.875 0.349 0.974
Br 0.250 0.750 0.500
Br 0.500 0.500 0.000

Entry 2:
# CrPdBr2

Crystalline CrPdBr2 at its relaxed geometry (PBE, Alexandria).

Summary:
**Crystal system**: trigonal
**Formation energy (no corrections)**: -2 kJ per mole of atoms
**Polymorph energy (0 for the lowest one)**: 0.0 kJ per mole of atoms

abc: 8.286 8.286 8.286
angles: 26.41 26.41 26.41
Fractional positions:
Cr 0.000 0.000 0.000
Pd 0.500 0.500 0.500
Br 0.397 0.397 0.397
Br 0.603 0.603 0.603

Entry 3:
# RbCr2PdBr

Crystalline RbCr2PdBr at its relaxed geometry (PBE, Alexandria).

Summary:
**Crystal system**: tetragonal
**Formation energy (no corrections)**: 164 kJ per mole of atoms

abc: 6.036 6.036 5.170
angles: 90.00 90.00 90.00
Fractional positions:
Rb 0.000 0.000 0.000
Cr 0.000 0.500 0.000
Cr 0.500 0.000 0.000
Pd 0.000 0.000 0.500
Br 0.500 0.500 0.500

Entry 4:
# CrSnPdBr2

Crystalline CrSnPdBr2 at its relaxed geometry (PBE, Alexandria).

Summary:
**Crystal system**: tetragonal
**Formation energy (no corrections)**: 37 kJ per mole of atoms
**Polymorph energy (0 for the lowest one)**: 0.0 kJ per mole of atoms

abc: 5.191 5.191 5.275
angles: 90.00 90.00 90.00
Fractional positions:
Cr 0.000 0.000 0.000
Sn 0.500 0.500 0.000
Pd 0.500 0.500 0.500
Br 0.000 0.500 0.500
Br 0.500 0.000 0.500

Entry 5:
# Cr2SnPdBr

Crystalline Cr2SnPdBr at its relaxed geometry (PBE, Alexandria).

Summary:
**Crystal system**: tetragonal
**Formation energy (no corrections)**: 58 kJ per mole of atoms

abc: 5.114 5.114 5.006
angles: 90.00 90.00 90.00
Fractional positions:
Cr 0.000 0.500 0.000
Cr 0.500 0.000 0.000
Sn 0.000 0.000 0.500
Pd 0.000 0.000 0.000
Br 0.500 0.500 0.500

Entry 6:
# CrSnPdBr2

Crystalline CrSnPdBr2 at its relaxed geometry (PBE, Alexandria).

Summary:
**Crystal system**: tetragonal
**Formation energy (no corrections)**: 50 kJ per mole of atoms
**Polymorph energy (0 for the lowest one)**: 13.1 kJ per mole of atoms

abc: 4.650 4.650 5.612
angles: 90.00 90.00 90.00
Fractional positions:
Cr 0.000 0.000 0.000
Sn 0.000 0.000 0.500
Pd 0.500 0.500 0.500
Br 0.000 0.500 0.000
Br 0.500 0.000 0.000

Entry 7:
# Ti2CrPdBr

Crystalline Ti2CrPdBr at its relaxed geometry (PBE, Alexandria).

Summary:
**Crystal system**: tetragonal
**Formation energy (no corrections)**: 136 kJ per mole of atoms

abc: 4.790 4.790 4.939
angles: 90.00 90.00 90.00
Fractional positions:
Ti 0.000 0.500 0.000
Ti 0.500 0.000 0.000
Cr 0.000 0.000 0.500
Pd 0.500 0.500 0.000
Br 0.500 0.500 0.500

Entry 8:
# PrCrBr2

Crystalline PrCrBr2 at its relaxed geometry (PBE, Alexandria).

Summary:
**Crystal system**: trigonal
**Formation energy (no corrections)**: -37 kJ per mole of atoms

abc: 9.400 9.400 9.400
angles: 24.05 24.05 24.05
Fractional positions:
Pr 0.000 0.000 0.000
Cr 0.500 0.500 0.500
Br 0.109 0.109 0.109
Br 0.891 0.891 0.891

Entry 9:
# CrPtBr2

Crystalline CrPtBr2 at its relaxed geometry (PBE, Alexandria).

Summary:
**Crystal system**: orthorhombic
**Formation energy (no corrections)**: 9 kJ per mole of atoms
**Polymorph energy (0 for the lowest one)**: 23.6 kJ per mole of atoms

abc: 3.605 3.605 7.662
angles: 90.00 90.00 105.55
Fractional positions:
Cr 0.000 0.000 0.000
Pt 0.500 0.500 0.167
Br 0.000 0.000 0.371
Br 0.500 0.500 0.808

Entry 10:
# CrPt2Br

Crystalline CrPt2Br at its relaxed geometry (PBE, Alexandria).

Summary:
**Crystal system**: trigonal
**Formation energy (no corrections)**: 21 kJ per mole of atoms
**Polymorph energy (0 for the lowest one)**: 8.2 kJ per mole of atoms

abc: 9.324 9.324 9.324
angles: 18.38 18.38 18.38
Fractional positions:
Cr 0.000 0.000 0.000
Pt 0.263 0.263 0.263
Pt 0.737 0.737 0.737
Br 0.500 0.500 0.500

Entry 11:
# CrPtBr2

Crystalline CrPtBr2 at its relaxed geometry (PBE, Alexandria).

Summary:
**Crystal system**: cubic
**Formation energy (no corrections)**: 63 kJ per mole of atoms
**Polymorph energy (0 for the lowest one)**: 76.9 kJ per mole of atoms

abc: 4.839 4.839 4.839
angles: 60.00 60.00 60.00
Fractional positions:
Cr 0.000 0.000 0.000
Pt 0.750 0.750 0.750
Br 0.250 0.250 0.250
Br 0.500 0.500 0.500

Entry 12:
# Cr4PtBr

Crystalline Cr4PtBr at its relaxed geometry (PBE, Alexandria).

Summary:
**Crystal system**: cubic
**Formation energy (no corrections)**: 67 kJ per mole of atoms

abc: 4.899 4.899 4.899
angles: 60.00 60.00 60.00
Fractional positions:
Cr 0.377 0.377 0.377
Cr 0.377 0.377 0.870
Cr 0.377 0.870 0.377
Cr 0.870 0.377 0.377
Pt 0.750 0.750 0.750
Br 0.000 0.000 0.000

Entry 13:
# CrPt2Br

Crystalline CrPt2Br at its relaxed geometry (PBE, Alexandria).

Summary:
**Crystal system**: tetragonal
**Formation energy (no corrections)**: 48 kJ per mole of atoms
**Polymorph energy (0 for the lowest one)**: 34.9 kJ per mole of atoms

abc: 3.796 3.796 4.918
angles: 90.00 90.00 90.00
Fractional positions:
Cr 0.000 0.000 0.000
Pt 0.000 0.500 0.500
Pt 0.500 0.000 0.500
Br 0.500 0.500 0.000

Entry 14:
# CrPt2Br

Crystalline CrPt2Br at its relaxed geometry (PBE, Alexandria).

Summary:
**Crystal system**: tetragonal
**Formation energy (no corrections)**: 44 kJ per mole of atoms
**Polymorph energy (0 for the lowest one)**: 31.5 kJ per mole of atoms

abc: 5.212 5.212 5.212
angles: 135.56 135.56 64.66
Fractional positions:
Cr 0.000 0.000 0.000
Pt 0.250 0.750 0.500
Pt 0.750 0.250 0.500
Br 0.500 0.500 0.000

Entry 15:
# CrPt2Br2

Crystalline CrPt2Br2 at its relaxed geometry (PBE, Alexandria).

Summary:
**Crystal system**: tetragonal
**Formation energy (no corrections)**: 42 kJ per mole of atoms
**Polymorph energy (0 for the lowest one)**: 0.0 kJ per mole of atoms

abc: 10.854 10.854 10.854
angles: 161.30 161.30 26.56
Fractional positions:
Cr 0.000 0.000 0.000
Pt 0.250 0.750 0.500
Pt 0.750 0.250 0.500
Br 0.424 0.424 0.000
Br 0.576 0.576 0.000

Entry 16:
# CrPt2Br

Crystalline CrPt2Br at its relaxed geometry (PBE, Alexandria).

Summary:
**Crystal system**: tetragonal
**Formation energy (no corrections)**: 27 kJ per mole of atoms
**Polymorph energy (0 for the lowest one)**: 13.7 kJ per mole of atoms

abc: 2.988 2.988 8.117
angles: 90.00 90.00 90.00
Fractional positions:
Cr 0.000 0.000 0.000
Pt 0.000 0.000 0.430
Pt 0.500 0.500 0.202
Br 0.500 0.500 0.791

Entry 17:
# CrPtBr2

Crystalline CrPtBr2 at its relaxed geometry (PBE, Alexandria).

Summary:
**Crystal system**: tetragonal
**Formation energy (no corrections)**: 30 kJ per mole of atoms
**Polymorph energy (0 for the lowest one)**: 44.6 kJ per mole of atoms

abc: 8.441 8.441 8.441
angles: 145.76 145.76 49.20
Fractional positions:
Cr 0.000 0.000 0.000
Cr 0.750 0.250 0.500
Pt 0.250 0.750 0.500
Pt 0.500 0.500 0.000
Br 0.125 0.625 0.000
Br 0.375 0.375 0.500
Br 0.625 0.125 0.000
Br 0.875 0.875 0.500

Entry 18:
# CrPt2Br

Crystalline CrPt2Br at its relaxed geometry (PBE, Alexandria).

Summary:
**Crystal system**: cubic
**Formation energy (no corrections)**: 54 kJ per mole of atoms
**Polymorph energy (0 for the lowest one)**: 40.7 kJ per mole of atoms

abc: 4.584 4.584 4.584
angles: 60.00 60.00 60.00
Fractional positions:
Cr 0.000 0.000 0.000
Pt 0.250 0.250 0.250
Pt 0.750 0.750 0.750
Br 0.500 0.500 0.500

Entry 19:
# CrPtBr2

Crystalline CrPtBr2 at its relaxed geometry (PBE, Alexandria).

Summary:
**Crystal system**: orthorhombic
**Formation energy (no corrections)**: 29 kJ per mole of atoms
**Polymorph energy (0 for the lowest one)**: 43.7 kJ per mole of atoms

abc: 3.458 4.031 6.353
angles: 90.00 90.00 90.00
Fractional positions:
Cr 0.000 0.000 0.000
Pt 0.500 0.000 0.500
Br 0.000 0.500 0.500
Br 0.500 0.500 0.000

Entry 20:
# CrPt2Br

Crystalline CrPt2Br at its relaxed geometry (PBE, Alexandria).

Summary:
**Crystal system**: monoclinic
**Formation energy (no corrections)**: 28 kJ per mole of atoms
**Polymorph energy (0 for the lowest one)**: 15.3 kJ per mole of atoms

abc: 5.263 5.263 4.438
angles: 98.31 98.31 34.78
Fractional positions:
Cr 0.000 0.000 0.000
Pt 0.283 0.283 0.771
Pt 0.717 0.717 0.229
Br 0.500 0.500 0.500